The following is a DFT calculation (PBE) of an optimized crystal structure of Sr3Cr5S12.

The calculation puts the energy relative to the elements, uncorrected at -0.9640 eV/atom. The magnetic moment is 12.00 μB per formula unit. The total energy comes out at -975.775 eV per cell.

The structure belongs to space group Ia-3d (No. 230); the cell edges are 15.1952, 15.1952 and 15.1952 Å and the angles 90.00°, 90.00° and 90.00°. The asymmetric unit holds Sr at (0.0000, 0.2500, 0.1250), Cr at (0.0000, 0.0000, 0.0000), Cr at (0.0000, 0.2500, 0.3750) and S at (0.0374, 0.0514, 0.6472).